# 1
# Sc2GaC GGA-PBEsol relaxed
# - E_tot (eV per atom) = -7.11
data_Sc2GaC
_chemical_formula_sum 'Sc4 Ga2 C2'
_cell_length_a 3.2688
_cell_length_b 3.2688
_cell_length_c 14.5289
_cell_angle_alpha 90.00
_cell_angle_beta 90.00
_cell_angle_gamma 120.00
_space_group_name_H-M_alt 'P 63/m m c'
_space_group_IT_number 194
_space_group_name_Hall '-P 6c 2c'
loop_
_atom_site_label
_atom_site_type_symbol
_atom_site_fract_x
_atom_site_fract_y
_atom_site_fract_z
Sc1 Sc 0.3333 0.6667 0.0850
Ga1 Ga 0.3333 0.6667 0.7500
C1 C 0.0000 0.0000 0.0000



# 2
# MgTaHg2 GGA-PBEsol relaxed
# - E_tot (eV per atom) = -3.62
data_MgTaHg2
_chemical_formula_sum 'Mg2 Ta2 Hg4'
_cell_length_a 3.021
_cell_length_b 5.009
_cell_length_c 10.309
_cell_angle_alpha 90.00
_cell_angle_beta 90.00
_cell_angle_gamma 90.00
_space_group_name_H-M_alt 'I m m 2'
_space_group_IT_number 44
_space_group_name_Hall 'I 2 -2'
loop_
_atom_site_label
_atom_site_type_symbol
_atom_site_fract_x
_atom_site_fract_y
_atom_site_fract_z
Mg1 Mg 0.000 0.000 0.000
Ta1 Ta 0.000 0.500 0.247
Hg1 Hg 0.000 0.000 0.504
Hg2 Hg 0.000 0.500 0.750



# 3
# ReTc3As GGA-PBEsol relaxed
# - E_tot (eV per atom) = -8.94
data_ReTc3As
_chemical_formula_sum 'Re1 Tc3 As1'
_cell_length_a 4.385
_cell_length_b 4.385
_cell_length_c 4.385
_cell_angle_alpha 90.00
_cell_angle_beta 90.00
_cell_angle_gamma 90.00
_space_group_name_H-M_alt 'P m -3 m'
_space_group_IT_number 221
_space_group_name_Hall '-P 4 2 3'
loop_
_atom_site_label
_atom_site_type_symbol
_atom_site_fract_x
_atom_site_fract_y
_atom_site_fract_z
Re1 Re 0.000 0.000 0.000
Tc1 Tc 0.000 0.500 0.500
As1 As 0.500 0.500 0.500



# 4
# Cu3Si GGA-PBEsol relaxed
# - formation energy from raw total energies (eV per atom) = -0.0610
# - E_tot (eV per atom) = -4.75
data_Cu3Si
_chemical_formula_sum 'Cu3 Si1'
_cell_length_a 2.629
_cell_length_b 4.042
_cell_length_c 4.354
_cell_angle_alpha 90.00
_cell_angle_beta 90.00
_cell_angle_gamma 90.00
_space_group_name_H-M_alt 'P m m 2'
_space_group_IT_number 25
_space_group_name_Hall 'P 2 -2'
loop_
_atom_site_label
_atom_site_type_symbol
_atom_site_fract_x
_atom_site_fract_y
_atom_site_fract_z
Cu1 Cu 0.000 0.000 0.000
Cu2 Cu 0.000 0.500 0.337
Cu3 Cu 0.500 0.000 0.506
Si1 Si 0.500 0.500 0.838



# 5
# CdSnPbBr2 GGA-PBEsol relaxed
# - formation energy from raw total energies (eV per atom) = 0.0447
# - E_tot (eV per atom) = -2.59
data_CdSnPbBr2
_chemical_formula_sum 'Cd1 Sn1 Pb1 Br2'
_cell_length_a 5.237
_cell_length_b 5.237
_cell_length_c 5.750
_cell_angle_alpha 90.00
_cell_angle_beta 90.00
_cell_angle_gamma 90.00
_space_group_name_H-M_alt 'P 4/m m m'
_space_group_IT_number 123
_space_group_name_Hall '-P 4 2'
loop_
_atom_site_label
_atom_site_type_symbol
_atom_site_fract_x
_atom_site_fract_y
_atom_site_fract_z
Cd1 Cd 0.000 0.000 0.000
Sn1 Sn 0.000 0.000 0.500
Pb1 Pb 0.500 0.500 0.500
Br1 Br 0.000 0.500 0.000



# 6
# LaTc2Rh GGA-PBEsol relaxed
# - offset from the most stable computed form (eV per atom) = 0.000
# - E_tot (eV per atom) = -8.91
data_LaTc2Rh
_chemical_formula_sum 'La1 Tc2 Rh1'
_cell_length_a 3.037
_cell_length_b 3.037
_cell_length_c 7.558
_cell_angle_alpha 90.00
_cell_angle_beta 90.00
_cell_angle_gamma 90.00
_space_group_name_H-M_alt 'P 4 m m'
_space_group_IT_number 99
_space_group_name_Hall 'P 4 -2'
loop_
_atom_site_label
_atom_site_type_symbol
_atom_site_fract_x
_atom_site_fract_y
_atom_site_fract_z
La1 La 0.000 0.000 0.000
Tc1 Tc 0.000 0.000 0.514
Tc2 Tc 0.500 0.500 0.691
Rh1 Rh 0.500 0.500 0.296



# 7
# ScRu2Rh GGA-PBEsol relaxed
# - E_tot (eV per atom) = -8.80
data_ScRu2Rh
_chemical_formula_sum 'Sc1 Ru2 Rh1'
_cell_length_a 2.794
_cell_length_b 4.587
_cell_length_c 4.664
_cell_angle_alpha 90.00
_cell_angle_beta 97.47
_cell_angle_gamma 90.00
_space_group_name_H-M_alt 'P 1 2/m 1'
_space_group_IT_number 10
_space_group_name_Hall '-P 2y'
loop_
_atom_site_label
_atom_site_type_symbol
_atom_site_fract_x
_atom_site_fract_y
_atom_site_fract_z
Sc1 Sc 0.000 0.000 0.000
Ru1 Ru 0.299 0.500 0.739
Rh1 Rh 0.500 0.000 0.500



# 8
# Mn2CoRe GGA-PBEsol relaxed
# - E_tot (eV per atom) = -9.92
data_Mn2CoRe
_chemical_formula_sum 'Mn6 Co3 Re3'
_cell_length_a 2.5796
_cell_length_b 2.5796
_cell_length_c 24.4445
_cell_angle_alpha 90.00
_cell_angle_beta 90.00
_cell_angle_gamma 120.00
_space_group_name_H-M_alt 'R -3 m'
_space_group_IT_number 166
_space_group_name_Hall '-R 3 2"'
loop_
_atom_site_label
_atom_site_type_symbol
_atom_site_fract_x
_atom_site_fract_y
_atom_site_fract_z
Mn1 Mn 0.0000 0.0000 0.2458
Co1 Co 0.0000 0.0000 0.5000
Re1 Re 0.0000 0.0000 0.0000



Question: Which of these has the highest E_tot?
Answer: CdSnPbBr2